# 1
Ta2TcW: relaxed, PBEsol.

Unit cell a=3.168 b=3.168 c=6.432 alpha=90.00 beta=90.00 gamma=90.00
Element x y z (fractional)
Ta1 0.500 0.500 0.258
Ta2 0.000 0.000 0.995
W1 0.500 0.500 0.743
Tc1 0.000 0.000 0.504

Summary:
The total energy comes out at -50.9 eV/cell. The value obtained for the calculated volume is 16.14 Å³ per atom. The formation enthalpy at 0 K is -0.714 eV/f.u.

# 2
MnOsSe: relaxed, PBEsol.

Unit cell a=2.713 b=2.713 c=7.038 alpha=96.29 beta=96.29 gamma=115.56
Site moments in Bohr magnetons follow the coordinates.
Element x y z (fractional)
Mn1 0.001 0.001 0.003  2.69
Se1 0.354 0.354 0.708  -0.01
Os1 0.645 0.645 0.289  -0.02

Summary:
The energy relative to the elements, uncorrected comes out at 0.62 eV per atom. The total energy comes out at -24.0 eV/cell. The value obtained for the calculated volume is 15.25 Å³ per atom.

# 3
MnPtO2: relaxed, PBEsol.

Unit cell a=3.902 b=3.902 c=3.902 alpha=60.00 beta=60.00 gamma=60.00
Site moments in Bohr magnetons follow the coordinates.
Element x y z (fractional)
Mn1 0.000 0.000 0.000  4.13
Pt1 0.500 0.500 0.500  -0.49
O1 0.250 0.250 0.250  -0.16
O2 0.750 0.750 0.750  -0.16

Summary:
The energy relative to the elements, uncorrected comes out at 0.03 eV per atom. The total energy comes out at -27.1 eV/cell. The value obtained for the calculated volume is 10.50 Å³ per atom.

# 4
TlTeH3: relaxed, PBEsol.

Unit cell a=4.127 b=4.127 c=4.127 alpha=90.00 beta=90.00 gamma=90.00
Element x y z (fractional)
H1 0.000 0.000 0.500
H2 0.500 0.000 0.000
H3 0.000 0.500 0.000
Tl1 0.500 0.500 0.500
Te1 0.000 0.000 0.000

Summary:
The total energy comes out at -13.7 eV/cell. The value obtained for the calculated volume is 14.06 Å³ per atom.

# 5
Ta2BeTl: relaxed, PBEsol.

Unit cell a=3.413 b=4.540 c=5.125 alpha=116.29 beta=109.45 gamma=90.00
Element x y z (fractional)
Ta1 0.749 0.249 0.497
Ta2 0.979 0.979 0.957
Be1 0.246 0.746 0.493
Tl1 0.526 0.526 0.053

Summary:
The total energy comes out at -30.0 eV/cell. The value obtained for the calculated volume is 16.52 Å³ per atom. The formation enthalpy at 0 K is 1.753 eV/f.u.

# 6
ReTe2: relaxed, PBEsol.

Unit cell a=6.984 b=7.127 c=7.233 alpha=92.16 beta=104.65 gamma=118.88
Element x y z (fractional)
Te1 0.752 0.616 0.802
Te2 0.779 0.895 0.282
Te3 0.754 0.138 0.689
Te4 0.284 0.668 0.763
Te5 0.246 0.862 0.311
Te6 0.221 0.105 0.718
Te7 0.248 0.384 0.198
Te8 0.716 0.332 0.237
Re1 0.515 0.703 0.505
Re2 0.928 0.677 0.510
Re3 0.072 0.323 0.490
Re4 0.485 0.297 0.495

Summary:
The energy relative to the elements, uncorrected comes out at -0.10 eV per atom. The total energy comes out at -82.7 eV/cell. The value obtained for the calculated volume is 24.96 Å³ per atom.

# 7
Na6V2PC4O16: relaxed, PBEsol.

Unit cell a=9.794 b=9.794 c=9.794 alpha=60.00 beta=60.00 gamma=60.00
Site moments in Bohr magnetons follow the coordinates.
Element x y z (fractional)
P1 0.250 0.250 0.250  0.00
P2 0.000 0.000 0.000  0.00
V1 0.125 0.625 0.625  2.20
V2 0.625 0.125 0.625  2.20
V3 0.625 0.625 0.125  2.20
V4 0.625 0.625 0.625  2.20
Na1 0.794 0.206 0.206  0.00
Na2 0.044 0.044 0.456  0.00
Na3 0.794 0.206 0.794  0.00
Na4 0.044 0.456 0.044  0.00
Na5 0.044 0.456 0.456  0.00
Na6 0.456 0.044 0.456  0.00
Na7 0.206 0.206 0.794  0.00
Na8 0.456 0.044 0.044  0.00
Na9 0.456 0.456 0.044  0.00
Na10 0.794 0.794 0.206  0.00
Na11 0.206 0.794 0.794  0.00
Na12 0.206 0.794 0.206  0.00
C1 0.410 0.410 0.410  0.04
C2 0.840 0.840 0.481  0.04
C3 0.840 0.840 0.840  0.04
C4 0.410 0.769 0.410  0.04
C5 0.840 0.481 0.840  0.04
C6 0.481 0.840 0.840  0.04
C7 0.769 0.410 0.410  0.04
C8 0.410 0.410 0.769  0.04
O1 0.770 0.267 0.529  -0.01
O2 0.185 0.185 0.445  0.00
O3 0.480 0.721 0.816  -0.01
O4 0.816 0.480 0.721  -0.01
O5 0.185 0.445 0.185  0.00
O6 0.816 0.721 0.983  -0.01
O7 0.721 0.983 0.816  -0.01
O8 0.983 0.816 0.721  -0.01
O9 0.065 0.805 0.065  0.00
O10 0.529 0.267 0.434  -0.01
O11 0.480 0.983 0.721  -0.01
O12 0.434 0.267 0.770  -0.01
O13 0.065 0.065 0.805  0.00
O14 0.529 0.770 0.267  -0.01
O15 0.770 0.434 0.267  -0.01
O16 0.816 0.983 0.480  -0.01
O17 0.267 0.529 0.770  -0.01
O18 0.185 0.185 0.185  0.00
O19 0.267 0.770 0.434  -0.01
O20 0.983 0.480 0.816  -0.01
O21 0.065 0.065 0.065  0.00
O22 0.983 0.721 0.480  -0.01
O23 0.434 0.770 0.529  -0.01
O24 0.267 0.434 0.529  -0.01
O25 0.721 0.480 0.983  -0.01
O26 0.434 0.529 0.267  -0.01
O27 0.805 0.065 0.065  0.00
O28 0.480 0.816 0.983  -0.01
O29 0.721 0.816 0.480  -0.01
O30 0.529 0.434 0.770  -0.01
O31 0.770 0.529 0.434  -0.01
O32 0.445 0.185 0.185  0.00

Summary:
The energy relative to the elements, uncorrected comes out at -1.81 eV per atom. The total energy comes out at -417.1 eV/cell. The value obtained for the calculated volume is 11.45 Å³ per atom.

# 8
YTaCl: relaxed, PBEsol.

Unit cell a=4.933 b=4.933 c=4.933 alpha=60.00 beta=60.00 gamma=60.00
Site moments in Bohr magnetons follow the coordinates.
Element x y z (fractional)
Y1 0.000 0.000 0.000  1.08
Ta1 0.250 0.250 0.250  2.24
Cl1 0.500 0.500 0.500  0.08

Summary:
The energy relative to the elements, uncorrected comes out at 1.24 eV per atom. The total energy comes out at -17.7 eV/cell. The value obtained for the calculated volume is 28.29 Å³ per atom.

# 9
ScMnO3: relaxed, PBEsol.

Unit cell a=5.002 b=5.378 c=7.507 alpha=90.00 beta=91.77 gamma=90.00
Site moments in Bohr magnetons follow the coordinates.
Element x y z (fractional)
O1 0.806 0.313 0.580  0.07
O2 0.694 0.813 0.920  0.07
O3 0.687 0.811 0.564  0.06
O4 0.358 0.440 0.758  0.06
O5 0.306 0.187 0.080  0.07
O6 0.142 0.940 0.742  0.06
O7 0.858 0.060 0.258  0.06
O8 0.194 0.687 0.420  0.07
O9 0.187 0.689 0.064  0.06
O10 0.642 0.560 0.242  0.06
O11 0.813 0.311 0.936  0.06
O12 0.313 0.189 0.436  0.06
Sc1 0.972 0.576 0.758  0.06
Sc2 0.528 0.076 0.742  0.06
Sc3 0.472 0.924 0.258  0.06
Sc4 0.028 0.424 0.242  0.06
Mn1 0.000 0.000 0.000  3.65
Mn2 0.500 0.500 0.500  3.65
Mn3 0.500 0.500 0.000  3.57
Mn4 0.000 0.000 0.500  3.57

Summary:
The energy relative to the elements, uncorrected comes out at -2.56 eV per atom. The total energy comes out at -179.7 eV/cell. The value obtained for the calculated volume is 10.09 Å³ per atom.

# 10
LiScMn2: relaxed, PBEsol.

Unit cell a=2.731 b=3.738 c=5.614 alpha=90.00 beta=103.32 gamma=90.00
Site moments in Bohr magnetons follow the coordinates.
Element x y z (fractional)
Sc1 0.959 0.000 0.472  -0.01
Li1 0.571 0.500 0.787  0.00
Mn1 0.062 0.000 0.046  -0.93
Mn2 0.408 0.500 0.195  0.77

Summary:
The total energy comes out at -26.8 eV/cell. The value obtained for the calculated volume is 13.95 Å³ per atom. The formation enthalpy at 0 K is 1.248 eV/f.u.

# 11
HgSbO2F: relaxed, PBEsol.

Unit cell a=4.195 b=4.195 c=4.424 alpha=90.00 beta=90.00 gamma=90.00
Element x y z (fractional)
Sb1 0.500 0.500 0.500
O1 0.500 0.000 0.000
O2 0.000 0.500 0.000
Hg1 0.000 0.000 0.000
F1 0.000 0.000 0.500

Summary:
The energy relative to the elements, uncorrected comes out at -0.14 eV per atom. The total energy comes out at -18.3 eV/cell. The value obtained for the calculated volume is 15.57 Å³ per atom.

# 12
Mn3Te4: relaxed, PBEsol.

Unit cell a=5.465 b=5.465 c=5.828 alpha=90.00 beta=90.00 gamma=120.00
Site moments in Bohr magnetons follow the coordinates.
Element x y z (fractional)
Te1 0.667 0.333 0.500  -0.04
Te2 0.333 0.667 0.500  -0.04
Te3 0.000 0.000 0.757  -0.07
Te4 0.000 0.000 0.243  -0.07
Mn1 0.500 0.000 0.000  3.68
Mn2 0.000 0.500 0.000  3.68
Mn3 0.500 0.500 0.000  3.68

Summary:
The energy relative to the elements, uncorrected comes out at 0.55 eV per atom. The total energy comes out at -39.6 eV/cell. The value obtained for the calculated volume is 21.53 Å³ per atom.

# 13
ScGaI3: relaxed, PBEsol.

Unit cell a=5.556 b=5.556 c=5.556 alpha=90.00 beta=90.00 gamma=90.00
Site moments in Bohr magnetons follow the coordinates.
Element x y z (fractional)
I1 0.000 0.000 0.500  -0.02
I2 0.500 0.000 0.000  -0.02
I3 0.000 0.500 0.000  -0.02
Ga1 0.000 0.000 0.000  -0.01
Sc1 0.500 0.500 0.500  1.00

Summary:
The energy relative to the elements, uncorrected comes out at 0.01 eV per atom. The total energy comes out at -15.2 eV/cell. The value obtained for the calculated volume is 34.30 Å³ per atom.

# 14
KMn2Fe: relaxed, PBEsol.

Unit cell a=4.583 b=4.583 c=4.583 alpha=60.00 beta=60.00 gamma=60.00
Site moments in Bohr magnetons follow the coordinates.
Element x y z (fractional)
Mn1 0.750 0.750 0.750  3.58
Mn2 0.250 0.250 0.250  3.58
K1 0.000 0.000 0.000  0.01
Fe1 0.500 0.500 0.500  2.52

Summary:
The total energy comes out at -23.6 eV/cell. The value obtained for the calculated volume is 17.02 Å³ per atom. The formation enthalpy at 0 K is 6.068 eV/f.u.

# 15
Li2CoRu: relaxed, PBEsol.

Unit cell a=3.997 b=3.997 c=3.997 alpha=60.00 beta=60.00 gamma=60.00
Site moments in Bohr magnetons follow the coordinates.
Element x y z (fractional)
Ru1 0.500 0.500 0.500  1.06
Li1 0.250 0.250 0.250  -0.01
Li2 0.750 0.750 0.750  -0.01
Co1 0.000 0.000 0.000  1.63

Summary:
The total energy comes out at -19.4 eV/cell. The value obtained for the calculated volume is 11.29 Å³ per atom. The formation enthalpy at 0 K is 2.489 eV/f.u.

# 16
BaZnRu2: relaxed, PBEsol.

Unit cell a=2.926 b=4.351 c=6.127 alpha=90.00 beta=94.66 gamma=90.00
Element x y z (fractional)
Ru1 0.739 0.000 0.832
Ru2 0.261 0.000 0.168
Ba1 0.000 0.500 0.500
Zn1 0.500 0.500 0.000

Summary:
The total energy comes out at -21.4 eV/cell. The value obtained for the calculated volume is 19.43 Å³ per atom. The formation enthalpy at 0 K is 2.668 eV/f.u.

# 17
BaY3Sc: relaxed, PBEsol.

Unit cell a=5.546 b=5.546 c=5.546 alpha=90.00 beta=90.00 gamma=90.00
Element x y z (fractional)
Y1 0.500 0.000 0.000
Y2 0.000 0.500 0.000
Y3 0.000 0.000 0.500
Ba1 0.000 0.000 0.000
Sc1 0.500 0.500 0.500

Summary:
The total energy comes out at -24.2 eV/cell. The value obtained for the calculated volume is 34.12 Å³ per atom. The formation enthalpy at 0 K is 4.975 eV/f.u.

# 18
ZnCo2Mo: relaxed, PBEsol.

Unit cell a=2.611 b=2.611 c=8.550 alpha=81.22 beta=81.22 gamma=60.00
Site moments in Bohr magnetons follow the coordinates.
Element x y z (fractional)
Zn1 0.256 0.256 0.232  -0.03
Co1 0.004 0.004 0.988  1.44
Co2 0.745 0.745 0.766  1.17
Mo1 0.495 0.495 0.514  -0.12

Summary:
The total energy comes out at -28.1 eV/cell. The value obtained for the calculated volume is 12.42 Å³ per atom. The formation enthalpy at 0 K is 0.735 eV/f.u.

# 19
CoRu2Cl: relaxed, PBEsol.

Unit cell a=2.728 b=4.190 c=6.292 alpha=91.38 beta=90.00 gamma=108.99
Site moments in Bohr magnetons follow the coordinates.
Element x y z (fractional)
Ru1 0.202 0.403 0.824  -0.08
Ru2 0.941 0.881 0.996  0.46
Cl1 0.685 0.370 0.511  0.00
Co1 0.673 0.345 0.169  1.31

Summary:
The energy relative to the elements, uncorrected comes out at 0.59 eV per atom. The total energy comes out at -27.7 eV/cell. The value obtained for the calculated volume is 16.99 Å³ per atom.

# 20
MgNiPt3: relaxed, PBEsol.

Unit cell a=4.505 b=4.505 c=4.505 alpha=90.00 beta=90.00 gamma=90.00
Site moments in Bohr magnetons follow the coordinates.
Element x y z (fractional)
Mg1 0.500 0.500 0.500  0.00
Pt1 0.000 0.000 0.500  0.10
Pt2 0.000 0.500 0.000  0.10
Pt3 0.500 0.000 0.000  0.10
Ni1 0.000 0.000 0.000  0.59

Summary:
The total energy comes out at -25.7 eV/cell. The value obtained for the calculated volume is 18.28 Å³ per atom. The formation enthalpy at 0 K is 3.087 eV/f.u.

# 21
Li2ZnAu: relaxed, PBEsol.

Unit cell a=3.934 b=3.934 c=4.618 alpha=115.21 beta=115.21 gamma=90.00
Element x y z (fractional)
Li1 0.250 0.750 0.500
Li2 0.000 0.000 0.000
Au1 0.750 0.250 0.500
Zn1 0.500 0.500 0.000

Summary:
The total energy comes out at -11.1 eV/cell. The value obtained for the calculated volume is 14.26 Å³ per atom. The formation enthalpy at 0 K is -1.681 eV/f.u.

# 22
Ag2AsPt: relaxed, PBEsol.

Unit cell a=3.264 b=3.264 c=6.250 alpha=90.00 beta=90.00 gamma=90.00
Element x y z (fractional)
As1 0.000 0.000 0.537
Pt1 0.500 0.500 0.723
Ag1 0.500 0.500 0.245
Ag2 0.000 0.000 0.995

Summary:
The total energy comes out at -18.8 eV/cell. The value obtained for the calculated volume is 16.65 Å³ per atom. The formation enthalpy at 0 K is -0.078 eV/f.u.

# 23
ZrTa2Ag: relaxed, PBEsol.

Unit cell a=2.828 b=2.828 c=9.095 alpha=90.00 beta=90.00 gamma=90.00
Element x y z (fractional)
Zr1 0.500 0.500 0.000
Ta1 0.000 0.000 0.262
Ta2 0.000 0.000 0.738
Ag1 0.500 0.500 0.500

Summary:
The total energy comes out at -36.7 eV/cell. The value obtained for the calculated volume is 18.19 Å³ per atom. The formation enthalpy at 0 K is 0.821 eV/f.u.

# 24
B2MoPd: relaxed, PBEsol.

Unit cell a=4.906 b=4.906 c=4.906 alpha=108.85 beta=108.85 gamma=110.72
Element x y z (fractional)
Mo1 0.500 0.500 0.000
Mo2 0.750 0.250 0.500
B1 0.367 0.375 0.492
B2 0.125 0.633 0.008
B3 0.883 0.875 0.508
B4 0.625 0.117 0.992
Pd1 0.250 0.750 0.500
Pd2 0.000 0.000 0.000

Summary:
The total energy comes out at -60.8 eV/cell. The value obtained for the calculated volume is 11.36 Å³ per atom. The formation enthalpy at 0 K is 1.356 eV/f.u.

# 25
Zn13Fe: relaxed, PBEsol.

Unit cell a=5.001 b=6.445 c=6.445 alpha=70.10 beta=80.98 gamma=80.98
Site moments in Bohr magnetons follow the coordinates.
Element x y z (fractional)
Zn1 0.626 0.222 0.222  0.00
Zn2 0.063 0.614 0.614  0.00
Zn3 0.937 0.386 0.386  0.00
Zn4 0.317 0.218 0.630  0.00
Zn5 0.801 0.005 0.644  0.00
Zn6 0.199 0.356 0.995  0.00
Zn7 0.683 0.782 0.370  0.00
Zn8 0.199 0.995 0.356  0.00
Zn9 0.801 0.644 0.005  0.00
Zn10 0.374 0.778 0.778  0.00
Zn11 0.000 0.000 0.000  0.00
Zn12 0.683 0.370 0.782  0.00
Zn13 0.317 0.630 0.218  0.00
Fe1 0.500 0.000 0.000  0.06

Summary:
The total energy comes out at -30.1 eV/cell. The value obtained for the calculated volume is 13.69 Å³ per atom. The formation enthalpy at 0 K is -0.556 eV/f.u.